No. 1
LaW2S: optimized geometry, PBE-GGA.

Summary:
Energy   -8.287 eV per atom
Energy relative to the elements, uncorrected   453 meV/atom
DOS at the Fermi energy   3.99 states/eV/f.u.

Unit cell a=9.554 b=9.554 c=9.554 alpha=153.77 beta=153.77 gamma=37.43
Sites, in units of the cell vectors:
La (0.000, 0.000, 0.000)
La (0.750, 0.250, 0.500)
W (0.231, 0.125, 0.606)
W (0.375, 0.769, 0.894)
W (0.519, 0.625, 0.394)
W (0.875, 0.481, 0.106)
S (0.250, 0.750, 0.500)
S (0.500, 0.500, 0.000)


No. 2
BaTlBiSb: optimized geometry, PBE-GGA.

Summary:
Energy   -3.528 eV per atom
Energy relative to the elements, uncorrected   -455 meV/atom
DOS at the Fermi energy   1.29 states/eV/f.u.

Unit cell a=5.897 b=5.897 c=6.078 alpha=107.15 beta=107.15 gamma=45.49
Sites, in units of the cell vectors:
Ba (0.000, 0.000, 0.000)
Tl (0.238, 0.238, 0.706)
Bi (0.493, 0.493, 0.480)
Sb (0.762, 0.762, 0.346)


Repeat the second record exactly.
BaTlBiSb: optimized geometry, PBE-GGA.

Summary:
Energy   -3.528 eV per atom
Energy relative to the elements, uncorrected   -455 meV/atom
DOS at the Fermi energy   1.29 states/eV/f.u.

Unit cell a=5.897 b=5.897 c=6.078 alpha=107.15 beta=107.15 gamma=45.49
Sites, in units of the cell vectors:
Ba (0.000, 0.000, 0.000)
Tl (0.238, 0.238, 0.706)
Bi (0.493, 0.493, 0.480)
Sb (0.762, 0.762, 0.346)


> Number 1 is which compound?

LaW2S


> The lowest energy relative to the elements, uncorrected belongs to which entry?

BaTlBiSb


> Look up the energy relative to the elements, uncorrected of the first one.

453 meV/atom